[1]
DFT (PBE-GGA) results for an optimized crystal structure of Na2NpO3F3.

Summary:
Space-group type   P-62m, No. 189
Magnetization   0.000 μB per formula unit
Uncorrected formation energy   -22.000 eV per formula unit

Cell and atoms, written as CIF:
```
data_Na2NpO3F3
_chemical_formula_sum 'Na2 Np1 O3 F3'
_cell_length_a 6.205
_cell_length_b 6.205
_cell_length_c 3.238
_cell_angle_alpha 90.00
_cell_angle_beta 90.00
_cell_angle_gamma 120.00
_space_group_name_H-M_alt 'P 1'
_space_group_IT_number 1
loop_
_space_group_symop_operation_xyz
'x,y,z'
loop_
_atom_site_label
_atom_site_fract_x
_atom_site_fract_y
_atom_site_fract_z
Na1 0.333 0.667 0.000
Na2 0.667 0.333 0.000
Np1 0.000 0.000 0.500
O1 0.000 0.222 0.000
O2 0.222 0.000 0.000
O3 0.778 0.778 0.000
F1 0.000 0.614 0.500
F2 0.386 0.386 0.500
F3 0.614 0.000 0.500
```


[2]
DFT (PBE-GGA) results for an optimized crystal structure of Rb2ZnCoCl6.

Summary:
DOS at the Fermi energy   17.1 states/eV per cell
Space-group type   I4/mmm, No. 139
Magnetization   3.000 μB per formula unit
Uncorrected formation energy   -12.285 eV per formula unit

Cell and atoms, written as CIF:
```
data_Rb2ZnCoCl6
_chemical_formula_sum 'Rb2 Zn1 Co1 Cl6'
_cell_length_a 7.028
_cell_length_b 7.028
_cell_length_c 7.028
_cell_angle_alpha 119.94
_cell_angle_beta 119.94
_cell_angle_gamma 90.10
_space_group_name_H-M_alt 'P 1'
_space_group_IT_number 1
loop_
_space_group_symop_operation_xyz
'x,y,z'
loop_
_atom_site_label
_atom_site_fract_x
_atom_site_fract_y
_atom_site_fract_z
Rb1 0.250 0.750 0.500
Rb2 0.750 0.250 0.500
Zn1 0.000 0.000 0.000
Co1 0.500 0.500 0.000
Cl1 0.251 0.251 0.000
Cl2 0.253 0.253 0.505
Cl3 0.253 0.747 0.000
Cl4 0.747 0.253 0.000
Cl5 0.747 0.747 0.495
Cl6 0.749 0.749 0.000
```


[3]
DFT (PBE-GGA) results for an optimized crystal structure of FeNi2Br.

Summary:
DOS at the Fermi energy   5.3 states/eV per cell
Polymorph energy (0 for the lowest one)   351.0 meV/atom
Space-group type   C2/m, No. 12
Magnetization   3.995 μB per formula unit
Uncorrected formation energy   2.498 eV per formula unit

Cell and atoms, written as CIF:
```
data_FeNi2Br
_chemical_formula_sum 'Fe1 Ni2 Br1'
_cell_length_a 4.288
_cell_length_b 4.288
_cell_length_c 3.105
_cell_angle_alpha 90.35
_cell_angle_beta 90.35
_cell_angle_gamma 105.93
_space_group_name_H-M_alt 'P 1'
_space_group_IT_number 1
loop_
_space_group_symop_operation_xyz
'x,y,z'
loop_
_atom_site_label
_atom_site_fract_x
_atom_site_fract_y
_atom_site_fract_z
Fe1 0.000 0.000 0.000
Ni1 0.000 0.500 0.500
Ni2 0.500 0.000 0.500
Br1 0.500 0.500 0.000
```


[4]
DFT (PBE-GGA) results for an optimized crystal structure of ErTiC2.

Summary:
DOS at the Fermi energy   2.3 states/eV per cell
Space-group type   R-3m, No. 166
Magnetization   0.000 μB per formula unit
ΔH_f (0 K)   -0.33 eV/atom

Cell and atoms, written as CIF:
```
data_ErTiC2
_chemical_formula_sum 'Er1 Ti1 C2'
_cell_length_a 5.777
_cell_length_b 5.777
_cell_length_c 5.777
_cell_angle_alpha 32.98
_cell_angle_beta 32.98
_cell_angle_gamma 32.98
_space_group_name_H-M_alt 'P 1'
_space_group_IT_number 1
loop_
_space_group_symop_operation_xyz
'x,y,z'
loop_
_atom_site_label
_atom_site_fract_x
_atom_site_fract_y
_atom_site_fract_z
Er1 0.000 0.000 0.000
Ti1 0.500 0.500 0.500
C1 0.238 0.238 0.238
C2 0.762 0.762 0.762
```


[5]
DFT (PBE-GGA) results for an optimized crystal structure of Cs3Rb.

Summary:
DOS at the Fermi energy   4.5 states/eV per cell
Space-group type   Pmmm, No. 47
Magnetization   0.000 μB per formula unit
ΔH_f (0 K)   0.00 eV/atom

Cell and atoms, written as CIF:
```
data_Cs3Rb
_chemical_formula_sum 'Cs3 Rb1'
_cell_length_a 5.517
_cell_length_b 6.925
_cell_length_c 11.255
_cell_angle_alpha 90.00
_cell_angle_beta 90.00
_cell_angle_gamma 90.00
_space_group_name_H-M_alt 'P 1'
_space_group_IT_number 1
loop_
_space_group_symop_operation_xyz
'x,y,z'
loop_
_atom_site_label
_atom_site_fract_x
_atom_site_fract_y
_atom_site_fract_z
Cs1 0.000 0.000 0.000
Cs2 0.500 0.500 0.261
Cs3 0.500 0.500 0.739
Rb1 0.000 0.000 0.500
```


[6]
DFT (PBE-GGA) results for an optimized crystal structure of YPaTlIn.

Summary:
DOS at the Fermi energy   8.6 states/eV per cell
Space-group type   F-43m, No. 216
Magnetization   1.667 μB per formula unit
ΔH_f (0 K)   -0.02 eV/atom

Cell and atoms, written as CIF:
```
data_YPaTlIn
_chemical_formula_sum 'Y1 Pa1 Tl1 In1'
_cell_length_a 5.361
_cell_length_b 5.361
_cell_length_c 5.361
_cell_angle_alpha 60.00
_cell_angle_beta 60.00
_cell_angle_gamma 60.00
_space_group_name_H-M_alt 'P 1'
_space_group_IT_number 1
loop_
_space_group_symop_operation_xyz
'x,y,z'
loop_
_atom_site_label
_atom_site_fract_x
_atom_site_fract_y
_atom_site_fract_z
Y1 0.000 0.000 0.000
Pa1 0.500 0.500 0.500
Tl1 0.750 0.750 0.750
In1 0.250 0.250 0.250
```


[7]
DFT (PBE-GGA) results for an optimized crystal structure of KHPd2.

Summary:
DOS at the Fermi energy   1.6 states/eV per cell
Polymorph energy (0 for the lowest one)   380.8 meV/atom
Space-group type   R-3m, No. 166
Magnetization   0.000 μB per formula unit

Cell and atoms, written as CIF:
```
data_KHPd2
_chemical_formula_sum 'K1 H1 Pd2'
_cell_length_a 7.821
_cell_length_b 7.821
_cell_length_c 7.821
_cell_angle_alpha 22.70
_cell_angle_beta 22.70
_cell_angle_gamma 22.70
_space_group_name_H-M_alt 'P 1'
_space_group_IT_number 1
loop_
_space_group_symop_operation_xyz
'x,y,z'
loop_
_atom_site_label
_atom_site_fract_x
_atom_site_fract_y
_atom_site_fract_z
K1 0.000 0.000 0.000
H1 0.500 0.500 0.500
Pd1 0.214 0.214 0.214
Pd2 0.786 0.786 0.786
```


[8]
DFT (PBE-GGA) results for an optimized crystal structure of TiMnSn2As.

Summary:
DOS at the Fermi energy   2.6 states/eV per cell
Space-group type   P4/mmm, No. 123
Magnetization   0.000 μB per formula unit
ΔH_f (0 K)   0.27 eV/atom

Cell and atoms, written as CIF:
```
data_TiMnSn2As
_chemical_formula_sum 'Ti1 Mn1 Sn2 As1'
_cell_length_a 4.996
_cell_length_b 4.996
_cell_length_c 4.388
_cell_angle_alpha 90.00
_cell_angle_beta 90.00
_cell_angle_gamma 90.00
_space_group_name_H-M_alt 'P 1'
_space_group_IT_number 1
loop_
_space_group_symop_operation_xyz
'x,y,z'
loop_
_atom_site_label
_atom_site_fract_x
_atom_site_fract_y
_atom_site_fract_z
Ti1 0.000 0.000 0.000
Mn1 0.000 0.000 0.500
Sn1 0.000 0.500 0.500
Sn2 0.500 0.000 0.500
As1 0.500 0.500 0.000
```